! V2Se2S (PBE-GGA, relaxed); values from VASP
! Crystal system: monoclinic
! Total energy, Ha/atom: -0.2390
&SYSTEM
  ibrav = 0, nat = 10, ntyp = 3
/
ATOMIC_SPECIES
Se 78.96 Se.upf
V 50.94 V.upf
S 32.06 S.upf
ATOMIC_POSITIONS angstrom
Se 2.492 3.997 6.028
V 0.831 5.068 9.314
V 0.831 4.988 4.500
S 0.831 1.369 0.887
Se 2.492 4.322 2.757
V 2.492 -0.059 5.862
S 2.492 3.560 9.474
V 2.492 -0.139 1.047
Se 0.831 0.933 4.333
Se 0.831 0.607 7.604
CELL_PARAMETERS angstrom
3.322 0.000 0.000
0.000 6.508 0.343
0.000 -1.579 10.018